1.
The following is a PBE calculation of a geometry-optimized Mg12InPb6 structure, from Alexandria via LeMat-Bulk. Values from VASP.

Results
Crystal system ... trigonal
Energy relative to the elements ... 0.0153 eV/atom
N(E_F) ... 0.38 states/eV per atom
Size of the total moment ... 0.000 μB per formula unit

```
&SYSTEM
  ibrav = 0, nat = 19, ntyp = 3
/
ATOMIC_SPECIES
Mg 24.30 Mg.upf
Pb 207.20 Pb.upf
In 114.82 In.upf
CELL_PARAMETERS angstrom
7.925 0.187 -0.712
-0.796 7.887 -0.712
0.165 0.187 7.955
ATOMIC_POSITIONS crystal
Mg 0.802 0.426 0.517
Mg 0.574 0.483 0.198
Mg 0.007 0.355 0.178
Mg 0.645 0.822 0.993
Mg 0.355 0.178 0.007
Mg 0.993 0.645 0.822
Mg 0.822 0.993 0.645
Mg 0.178 0.007 0.355
Mg 0.483 0.198 0.574
Mg 0.426 0.517 0.802
Mg 0.517 0.802 0.426
Mg 0.198 0.574 0.483
Pb 0.665 0.124 0.259
Pb 0.876 0.741 0.335
Pb 0.259 0.665 0.124
Pb 0.124 0.259 0.665
Pb 0.335 0.876 0.741
Pb 0.741 0.335 0.876
In 0.000 0.000 0.000
```

2.
The following is a PBE calculation of a geometry-optimized Mg2InPb structure, from Alexandria via LeMat-Bulk. Values from VASP.

Results
Crystal system ... orthorhombic
Energy relative to the elements ... -0.0616 eV/atom
N(E_F) ... 0.36 states/eV per atom
Size of the total moment ... 0.000 μB per formula unit

```
&SYSTEM
  ibrav = 0, nat = 4, ntyp = 3
/
ATOMIC_SPECIES
Mg 24.30 Mg.upf
Pb 207.20 Pb.upf
In 114.82 In.upf
CELL_PARAMETERS angstrom
5.401 0.000 0.000
0.000 3.477 -0.036
0.000 0.053 5.331
ATOMIC_POSITIONS crystal
Mg 0.500 0.125 0.331
Mg 0.000 0.125 0.915
Pb 0.000 0.625 0.415
In 0.500 0.625 0.839
```

3.
The following is a PBE calculation of a geometry-optimized MgIn3Pb5 structure, from Alexandria via LeMat-Bulk. Values from VASP.

Results
Crystal system ... hexagonal
Energy relative to the elements ... 0.0526 eV/atom
N(E_F) ... 0.39 states/eV per atom
Size of the total moment ... 0.000 μB per formula unit

```
&SYSTEM
  ibrav = 0, nat = 18, ntyp = 3
/
ATOMIC_SPECIES
In 114.82 In.upf
Mg 24.30 Mg.upf
Pb 207.20 Pb.upf
CELL_PARAMETERS angstrom
6.696 0.000 0.000
0.000 8.245 -4.760
0.000 0.000 9.521
ATOMIC_POSITIONS crystal
In 0.750 0.000 0.370
In 0.750 0.370 0.000
In 0.250 0.630 0.000
In 0.750 0.630 0.630
In 0.250 0.370 0.370
In 0.250 0.000 0.630
Mg 0.000 0.000 0.000
Mg 0.500 0.000 0.000
Pb 0.500 0.333 0.667
Pb 0.250 0.704 0.704
Pb 0.000 0.333 0.667
Pb 0.750 0.000 0.704
Pb 0.500 0.667 0.333
Pb 0.000 0.667 0.333
Pb 0.250 0.000 0.296
Pb 0.250 0.296 0.000
Pb 0.750 0.704 0.000
Pb 0.750 0.296 0.296
```

4.
The following is a PBE calculation of a geometry-optimized Mg2In5Pb structure, from Alexandria via LeMat-Bulk. Values from VASP.

Results
Crystal system ... orthorhombic
Energy relative to the elements ... -0.0190 eV/atom
N(E_F) ... 0.35 states/eV per atom
Size of the total moment ... 0.000 μB per formula unit

```
&SYSTEM
  ibrav = 0, nat = 16, ntyp = 3
/
ATOMIC_SPECIES
Pb 207.20 Pb.upf
In 114.82 In.upf
Mg 24.30 Mg.upf
CELL_PARAMETERS angstrom
4.576 0.000 0.000
0.000 7.149 0.000
0.000 0.000 12.728
ATOMIC_POSITIONS crystal
Pb 0.000 0.500 0.000
Pb 0.000 0.000 0.500
In 0.000 0.974 0.753
In 0.000 0.000 0.000
In 0.000 0.026 0.247
In 0.000 0.500 0.500
In 0.500 0.732 0.631
In 0.500 0.768 0.131
In 0.000 0.526 0.253
In 0.500 0.232 0.869
In 0.500 0.268 0.369
In 0.000 0.474 0.747
Mg 0.500 0.244 0.623
Mg 0.500 0.744 0.877
Mg 0.500 0.756 0.377
Mg 0.500 0.256 0.123
```

5.
The following is a PBE calculation of a geometry-optimized Mg3InPb12 structure, from Alexandria via LeMat-Bulk. Values from VASP.

Results
Crystal system ... tetragonal
Energy relative to the elements ... 0.0026 eV/atom
N(E_F) ... 0.38 states/eV per atom
Size of the total moment ... 0.000 μB per formula unit

```
&SYSTEM
  ibrav = 0, nat = 16, ntyp = 3
/
ATOMIC_SPECIES
Pb 207.20 Pb.upf
Mg 24.30 Mg.upf
In 114.82 In.upf
CELL_PARAMETERS angstrom
-2.639 -2.452 3.255
1.718 -4.186 -1.761
15.293 0.807 13.004
ATOMIC_POSITIONS crystal
Pb 0.500 0.500 0.000
Pb 0.500 0.500 0.253
Pb 0.000 0.500 0.130
Pb 0.500 0.000 0.130
Pb 0.500 0.500 0.500
Pb 0.000 0.500 0.870
Pb 0.000 0.500 0.623
Pb 0.500 0.000 0.870
Pb 0.500 0.500 0.747
Pb 0.500 0.000 0.377
Pb 0.500 0.000 0.623
Pb 0.000 0.500 0.377
Mg 0.000 0.000 0.500
Mg 0.000 0.000 0.251
Mg 0.000 0.000 0.749
In 0.000 0.000 0.000
```

6.
The following is a PBE calculation of a geometry-optimized Mg2InPb structure, from Alexandria via LeMat-Bulk. Values from VASP.

Results
Crystal system ... cubic
Energy relative to the elements ... 0.0446 eV/atom
N(E_F) ... 0.60 states/eV per atom
Size of the total moment ... 0.000 μB per formula unit

```
&SYSTEM
  ibrav = 0, nat = 4, ntyp = 3
/
ATOMIC_SPECIES
Mg 24.30 Mg.upf
In 114.82 In.upf
Pb 207.20 Pb.upf
CELL_PARAMETERS angstrom
5.293 0.000 0.000
2.646 4.584 0.000
2.646 1.528 4.322
ATOMIC_POSITIONS crystal
Mg 0.250 0.250 0.250
Mg 0.000 0.000 0.000
In 0.500 0.500 0.500
Pb 0.750 0.750 0.750
```

7.
The following is a PBE calculation of a geometry-optimized Mg6In3Pb2 structure, from Alexandria via LeMat-Bulk. Values from VASP.

Results
Crystal system ... trigonal
Energy relative to the elements ... -0.0393 eV/atom
N(E_F) ... 0.40 states/eV per atom
Size of the total moment ... 0.000 μB per formula unit

```
&SYSTEM
  ibrav = 0, nat = 11, ntyp = 3
/
ATOMIC_SPECIES
In 114.82 In.upf
Pb 207.20 Pb.upf
Mg 24.30 Mg.upf
CELL_PARAMETERS angstrom
-1.986 2.385 1.635
-0.107 0.087 3.505
19.238 17.288 1.913
ATOMIC_POSITIONS crystal
In 0.274 0.274 0.179
In 0.000 0.000 0.000
In 0.726 0.726 0.821
Pb 0.546 0.546 0.361
Pb 0.454 0.454 0.639
Mg 0.818 0.818 0.546
Mg 0.911 0.911 0.268
Mg 0.089 0.089 0.732
Mg 0.637 0.637 0.090
Mg 0.363 0.363 0.910
Mg 0.182 0.182 0.454
```

8.
The following is a PBE calculation of a geometry-optimized Mg2InPb3 structure, from Alexandria via LeMat-Bulk. Values from VASP.

Results
Crystal system ... monoclinic
Energy relative to the elements ... -0.0012 eV/atom
N(E_F) ... 0.36 states/eV per atom
Size of the total moment ... 0.000 μB per formula unit
Offset from the most stable computed form ... 34.5 meV/atom

```
&SYSTEM
  ibrav = 0, nat = 12, ntyp = 3
/
ATOMIC_SPECIES
Mg 24.30 Mg.upf
Pb 207.20 Pb.upf
In 114.82 In.upf
CELL_PARAMETERS angstrom
5.054 -1.483 1.307
-0.180 5.264 1.307
-3.292 -2.555 11.236
ATOMIC_POSITIONS crystal
Mg 0.873 0.375 0.371
Mg 0.127 0.625 0.629
Mg 0.625 0.127 0.129
Mg 0.375 0.873 0.871
Pb 0.563 0.437 0.750
Pb 0.192 0.300 0.000
Pb 0.808 0.700 0.000
Pb 0.700 0.808 0.500
Pb 0.437 0.563 0.250
Pb 0.300 0.192 0.500
In 0.056 0.944 0.250
In 0.944 0.056 0.750
```

9.
The following is a PBE calculation of a geometry-optimized Mg12In6Pb structure, from Alexandria via LeMat-Bulk. Values from VASP.

Results
Crystal system ... trigonal
Energy relative to the elements ... -0.0703 eV/atom
N(E_F) ... 0.43 states/eV per atom
Size of the total moment ... 0.000 μB per formula unit
Offset from the most stable computed form ... 0.0 meV/atom

```
&SYSTEM
  ibrav = 0, nat = 19, ntyp = 3
/
ATOMIC_SPECIES
Mg 24.30 Mg.upf
In 114.82 In.upf
Pb 207.20 Pb.upf
CELL_PARAMETERS angstrom
7.587 0.000 2.432
-3.759 6.978 3.026
0.069 0.000 8.483
ATOMIC_POSITIONS crystal
Mg 0.836 0.939 0.430
Mg 0.210 0.735 0.112
Mg 0.475 0.153 0.735
Mg 0.734 0.570 0.369
Mg 0.897 0.631 0.939
Mg 0.266 0.430 0.631
Mg 0.103 0.369 0.061
Mg 0.790 0.265 0.888
Mg 0.525 0.847 0.265
Mg 0.321 0.112 0.153
Mg 0.679 0.888 0.847
Mg 0.164 0.061 0.570
In 0.580 0.519 0.785
In 0.939 0.304 0.481
In 0.635 0.215 0.304
In 0.365 0.785 0.696
In 0.061 0.696 0.519
In 0.420 0.481 0.215
Pb 0.000 0.000 0.000
```

10.
The following is a PBE calculation of a geometry-optimized MgIn5Pb5 structure, from Alexandria via LeMat-Bulk. Values from VASP.

Results
Crystal system ... triclinic
Energy relative to the elements ... 0.0613 eV/atom
N(E_F) ... 0.49 states/eV per atom
Size of the total moment ... 0.000 μB per formula unit

```
&SYSTEM
  ibrav = 0, nat = 11, ntyp = 3
/
ATOMIC_SPECIES
Mg 24.30 Mg.upf
In 114.82 In.upf
Pb 207.20 Pb.upf
CELL_PARAMETERS angstrom
-0.277 1.466 -6.466
-5.776 -0.263 -0.328
-1.931 8.798 -0.453
ATOMIC_POSITIONS crystal
Mg 0.000 0.000 0.000
In 0.827 0.997 0.665
In 0.505 0.467 0.315
In 0.173 0.003 0.335
In 0.495 0.533 0.685
In 0.000 0.500 0.500
Pb 0.687 0.938 0.338
Pb 0.794 0.497 0.927
Pb 0.313 0.062 0.662
Pb 0.500 0.000 0.000
Pb 0.206 0.503 0.073
```

11.
The following is a PBE calculation of a geometry-optimized MgIn2Pb structure, from Alexandria via LeMat-Bulk. Values from VASP.

Results
Crystal system ... tetragonal
Energy relative to the elements ... 0.0116 eV/atom
N(E_F) ... 0.51 states/eV per atom
Size of the total moment ... 0.000 μB per formula unit

```
&SYSTEM
  ibrav = 0, nat = 4, ntyp = 3
/
ATOMIC_SPECIES
Pb 207.20 Pb.upf
In 114.82 In.upf
Mg 24.30 Mg.upf
CELL_PARAMETERS angstrom
5.538 0.000 0.000
0.000 5.538 0.000
0.000 0.000 3.553
ATOMIC_POSITIONS crystal
Pb 0.000 0.500 0.500
In 0.500 0.500 0.000
In 0.000 0.000 0.000
Mg 0.500 0.000 0.500
```

12.
The following is a PBE calculation of a geometry-optimized MgIn2Pb structure, from Alexandria via LeMat-Bulk. Values from VASP.

Results
Crystal system ... monoclinic
Energy relative to the elements ... -0.0206 eV/atom
N(E_F) ... 0.40 states/eV per atom
Size of the total moment ... 0.000 μB per formula unit

```
&SYSTEM
  ibrav = 0, nat = 4, ntyp = 3
/
ATOMIC_SPECIES
Pb 207.20 Pb.upf
Mg 24.30 Mg.upf
In 114.82 In.upf
CELL_PARAMETERS angstrom
5.689 -0.008 0.042
4.659 3.265 0.042
1.072 0.337 5.752
ATOMIC_POSITIONS crystal
Pb 0.250 0.250 0.250
Mg 0.750 0.750 0.750
In 0.007 0.007 0.987
In 0.493 0.493 0.513
```